Entry 1:
Here is a relaxed structure of SbTe2P from Alexandria via LeMat-Bulk. Energies are from PBE.

The structure in POSCAR format:
```
SbTe2P
1.0
3.683 0.000 0.000
0.000 3.683 0.000
0.000 0.000 9.084
Sb Te P
1 2 1
direct
0.500 0.500 0.772 Sb
0.000 0.000 0.936 Te
0.500 0.500 0.343 Te
0.000 0.000 0.448 P
```

Output
- Formation energy without anion corrections: 29 kJ per mole of atoms
- Total magnetic moment: 0.00 μB per atom
- Energy above the most stable polymorph in this dataset: 142.7 meV per atom
- Symmetry: No. 99
- Fermi-level density of states: 1.33 states/eV/cell

***

Entry 2:
Here is a relaxed structure of CsBPO2 from Alexandria via LeMat-Bulk. Energies are from PBE.

The structure in POSCAR format:
```
CsBPO2
1.0
4.149 0.000 0.000
0.000 4.149 0.000
0.000 0.000 7.582
Cs P B O
1 1 1 2
direct
0.000 0.000 0.000 Cs
0.000 0.000 0.500 P
0.500 0.500 0.500 B
0.000 0.500 0.000 O
0.500 0.000 0.000 O
```

Output
- Formation energy without anion corrections: 175 kJ per mole of atoms
- Total magnetic moment: 0.15 μB per atom
- Energy above the most stable polymorph in this dataset: 1345.6 meV per atom
- Symmetry: No. 123
- Fermi-level density of states: 5.19 states/eV/cell

***

Entry 3:
Here is a relaxed structure of La5Si from Alexandria via LeMat-Bulk. Energies are from PBE.

The structure in POSCAR format:
```
La5Si
1.0
2.468 -0.997 -6.026
3.296 -4.229 -3.828
-5.564 -4.372 -4.330
La Si
5 1
direct
0.958 0.958 0.997 La
0.318 0.318 0.342 La
0.683 0.683 0.739 La
0.631 0.631 0.208 La
0.954 0.954 0.614 La
0.289 0.289 0.933 Si
```

Output
- Formation energy without anion corrections: -17 kJ per mole of atoms
- Total magnetic moment: 0.00 μB per atom
- Energy above the most stable polymorph in this dataset: 0.0 meV per atom
- Symmetry: No. 8
- Fermi-level density of states: 8.47 states/eV/cell

***

Entry 4:
Here is a relaxed structure of Mg2Sc5ZnAg2 from Alexandria via LeMat-Bulk. Energies are from PBE.

The structure in POSCAR format:
```
Mg2Sc5ZnAg2
1.0
3.397 0.000 0.000
0.000 11.481 0.000
0.000 0.000 11.481
Mg Sc Zn Ag
4 10 2 4
direct
0.000 0.680 0.180 Mg
0.000 0.320 0.820 Mg
0.000 0.180 0.320 Mg
0.000 0.820 0.680 Mg
0.500 0.193 0.044 Sc
0.500 0.807 0.956 Sc
0.500 0.044 0.807 Sc
0.500 0.693 0.456 Sc
0.500 0.956 0.193 Sc
0.500 0.307 0.544 Sc
0.500 0.544 0.693 Sc
0.500 0.456 0.307 Sc
0.500 0.500 0.000 Sc
0.500 0.000 0.500 Sc
0.000 0.000 0.000 Zn
0.000 0.500 0.500 Zn
0.000 0.134 0.634 Ag
0.000 0.866 0.366 Ag
0.000 0.634 0.866 Ag
0.000 0.366 0.134 Ag
```

Output
- Total magnetic moment: 0.00 μB per atom
- Total energy: -85.9 eV per cell
- Symmetry: No. 127
- Fermi-level density of states: 19.50 states/eV/cell

***

Entry 5:
Here is a relaxed structure of LiH8Pd6 from Alexandria via LeMat-Bulk. Energies are from PBE.

The structure in POSCAR format:
```
LiH8Pd6
1.0
5.524 0.000 0.000
2.762 4.784 0.000
2.762 1.595 4.887
Li H Pd
1 8 6
direct
0.000 0.000 0.000 Li
0.623 0.170 0.343 H
0.830 0.136 0.657 H
0.136 0.377 0.657 H
0.696 0.696 0.911 H
0.304 0.304 0.089 H
0.864 0.623 0.343 H
0.170 0.864 0.343 H
0.377 0.830 0.657 H
0.481 0.080 0.737 Pd
0.920 0.299 0.263 Pd
0.299 0.519 0.263 Pd
0.701 0.481 0.737 Pd
0.080 0.701 0.737 Pd
0.519 0.920 0.263 Pd
```

Output
- Total magnetic moment: 0.00 μB per atom
- Total energy: -61.0 eV per cell
- Symmetry: No. 148
- Fermi-level density of states: 5.34 states/eV/cell